! PBE-GGA Pr8SnHg2, relaxed; values from VASP
&SYSTEM
  ibrav = 0, nat = 11, ntyp = 3
/
ATOMIC_SPECIES
Pr 140.91 Pr.upf
Sn 118.71 Sn.upf
Hg 200.59 Hg.upf
CELL_PARAMETERS angstrom
5.214 0.000 -1.683
-1.344 7.687 -4.161
0.005 -0.053 8.931
ATOMIC_POSITIONS angstrom
Pr 4.491 2.095 4.993
Pr 2.266 7.345 -1.897
Sn 2.607 0.000 -0.842
Pr 1.609 0.289 4.984
Pr 2.501 3.436 -1.169
Pr 0.469 1.471 1.451
Hg 3.552 2.943 2.087
Hg 0.323 4.690 1.000
Pr 3.407 6.162 1.635
Pr 1.374 4.197 4.255
Pr -0.615 5.538 -1.906
! M_tot: 0.00 μB/f.u.
! Uncorrected energy: -4.1925 eV per atom

! PBE-GGA Pr2SnHg2, relaxed; values from VASP
&SYSTEM
  ibrav = 0, nat = 10, ntyp = 3
/
ATOMIC_SPECIES
Hg 200.59 Hg.upf
Pr 140.91 Pr.upf
Sn 118.71 Sn.upf
CELL_PARAMETERS angstrom
-1.782 4.223 1.106
-5.985 -0.402 1.947
3.190 1.334 10.095
ATOMIC_POSITIONS angstrom
Hg -3.117 3.631 11.266
Hg -4.574 4.137 6.986
Pr -0.333 4.972 10.628
Sn 0.419 3.404 7.777
Pr -2.032 3.172 4.717
Sn -4.995 1.751 5.371
Hg -0.002 1.017 6.162
Pr -4.243 0.182 2.521
Pr -2.544 1.983 8.431
Hg -1.459 1.524 1.883
! M_tot: 0.00 μB/f.u.
! Polymorph energy (0 for the lowest one): 0.0000 eV per atom
! Uncorrected energy: -3.3472 eV per atom

! PBE-GGA Pr5Sn2Hg2, relaxed; values from VASP
&SYSTEM
  ibrav = 0, nat = 18, ntyp = 3
/
ATOMIC_SPECIES
Sn 118.71 Sn.upf
Pr 140.91 Pr.upf
Hg 200.59 Hg.upf
CELL_PARAMETERS angstrom
-8.207 -1.251 0.034
0.720 -4.531 6.958
-5.119 6.160 4.541
ATOMIC_POSITIONS angstrom
Sn -5.038 -1.362 0.911
Pr -1.297 -1.404 5.921
Pr -2.759 0.693 2.447
Sn -6.728 -3.940 4.399
Hg -8.437 0.426 6.142
Pr -5.857 1.024 7.974
Hg -8.632 1.591 1.929
Pr -3.743 -2.891 3.496
Hg -4.694 3.317 2.646
Pr -7.319 3.121 4.499
Sn -2.449 -4.421 6.081
Sn -0.759 -1.843 2.594
Pr -5.287 -2.743 7.034
Hg -4.169 -0.049 5.391
Pr -11.309 1.782 5.613
Pr -6.749 -0.646 3.560
Pr 0.000 0.000 0.000
Pr -9.847 -0.316 9.087
! M_tot: 0.00 μB/f.u.
! Polymorph energy (0 for the lowest one): 0.0000 eV per atom
! Uncorrected energy: -4.1760 eV per atom

! PBE-GGA PrSn2Hg, relaxed; values from VASP
&SYSTEM
  ibrav = 0, nat = 4, ntyp = 3
/
ATOMIC_SPECIES
Sn 118.71 Sn.upf
Pr 140.91 Pr.upf
Hg 200.59 Hg.upf
CELL_PARAMETERS angstrom
-0.252 -4.369 1.355
1.430 -1.438 -4.371
4.594 0.183 1.442
ATOMIC_POSITIONS angstrom
Sn 0.715 -0.719 -2.185
Sn 2.297 0.091 0.721
Pr 2.886 -2.812 -0.787
Hg -0.126 -2.184 0.678
! M_tot: 0.00 μB/f.u.
! Polymorph energy (0 for the lowest one): 0.0000 eV per atom
! Uncorrected energy: -3.7757 eV per atom

! PBE-GGA Pr3Sn3Hg2, relaxed; values from VASP
&SYSTEM
  ibrav = 0, nat = 16, ntyp = 3
/
ATOMIC_SPECIES
Hg 200.59 Hg.upf
Sn 118.71 Sn.upf
Pr 140.91 Pr.upf
CELL_PARAMETERS angstrom
4.677 0.000 0.000
-2.338 5.992 0.000
0.000 0.000 16.129
ATOMIC_POSITIONS angstrom
Hg 0.000 2.708 6.286
Sn 0.000 4.580 15.501
Pr 0.000 4.101 12.097
Pr 0.000 0.786 9.897
Sn 0.000 4.657 4.032
Sn 2.338 1.412 0.628
Sn 2.338 1.334 12.097
Pr 2.338 5.205 1.832
Sn 0.000 4.580 8.692
Pr 2.338 1.891 4.032
Sn 2.338 1.412 7.437
Hg 2.338 3.283 9.843
Hg 0.000 2.708 1.779
Pr 2.338 5.205 6.232
Hg 2.338 3.283 14.350
Pr 0.000 0.786 14.297
! M_tot: 0.00 μB/f.u.
! Uncorrected energy: -3.9559 eV per atom

! PBE-GGA PrSnHg2, relaxed; values from VASP
&SYSTEM
  ibrav = 0, nat = 4, ntyp = 3
/
ATOMIC_SPECIES
Hg 200.59 Hg.upf
Pr 140.91 Pr.upf
Sn 118.71 Sn.upf
CELL_PARAMETERS angstrom
4.902 0.000 0.000
0.000 4.624 0.000
0.000 0.000 4.624
ATOMIC_POSITIONS angstrom
Hg 0.000 2.312 0.000
Pr 2.451 0.000 0.000
Sn 2.451 2.312 2.312
Hg 0.000 0.000 2.312
! M_tot: 0.00 μB/f.u.
! Uncorrected energy: -2.8098 eV per atom

! PBE-GGA Pr2Sn3Hg3, relaxed; values from VASP
&SYSTEM
  ibrav = 0, nat = 8, ntyp = 3
/
ATOMIC_SPECIES
Sn 118.71 Sn.upf
Hg 200.59 Hg.upf
Pr 140.91 Pr.upf
CELL_PARAMETERS angstrom
4.839 0.000 0.000
0.000 4.711 0.000
0.000 0.000 9.258
ATOMIC_POSITIONS angstrom
Sn 0.000 2.356 0.000
Sn 0.000 2.356 4.629
Sn 2.419 0.000 4.629
Hg 2.419 0.000 0.000
Hg 2.419 2.356 2.282
Pr 0.000 0.000 2.339
Hg 2.419 2.356 6.976
Pr 0.000 0.000 6.919
! M_tot: 0.00 μB/f.u.
! Uncorrected energy: -3.2999 eV per atom

! PBE-GGA Pr4Sn3Hg, relaxed; values from VASP
&SYSTEM
  ibrav = 0, nat = 8, ntyp = 3
/
ATOMIC_SPECIES
Sn 118.71 Sn.upf
Hg 200.59 Hg.upf
Pr 140.91 Pr.upf
CELL_PARAMETERS angstrom
-2.179 -3.328 2.398
3.649 -0.559 2.540
-4.061 8.157 7.630
ATOMIC_POSITIONS angstrom
Sn -0.564 4.519 5.759
Hg 0.385 -1.240 3.127
Sn -4.809 5.808 8.188
Pr -1.679 6.757 7.852
Pr -0.733 1.005 5.227
Pr -0.553 1.112 1.040
Pr -3.676 3.531 6.058
Sn -1.674 3.363 3.146
! M_tot: 0.20 μB/f.u.
! Uncorrected energy: -4.6192 eV per atom

! PBE-GGA Pr2Sn4Hg, relaxed; values from VASP
&SYSTEM
  ibrav = 0, nat = 7, ntyp = 3
/
ATOMIC_SPECIES
Sn 118.71 Sn.upf
Hg 200.59 Hg.upf
Pr 140.91 Pr.upf
CELL_PARAMETERS angstrom
-0.672 3.943 -2.266
-3.741 -1.782 -1.990
-5.412 3.251 7.263
ATOMIC_POSITIONS angstrom
Sn -6.209 1.715 4.827
Sn -4.913 2.706 1.504
Hg -2.207 1.081 -2.128
Pr -3.134 -0.132 0.700
Pr -4.485 4.463 4.435
Sn -2.706 1.625 3.632
Sn -1.410 2.616 0.308
! M_tot: 0.00 μB/f.u.
! Polymorph energy (0 for the lowest one): 0.0288 eV per atom
! Uncorrected energy: -4.1398 eV per atom

! PBE-GGA Pr2Sn4Hg, relaxed; values from VASP
&SYSTEM
  ibrav = 0, nat = 7, ntyp = 3
/
ATOMIC_SPECIES
Pr 140.91 Pr.upf
Hg 200.59 Hg.upf
Sn 118.71 Sn.upf
CELL_PARAMETERS angstrom
-3.853 4.776 2.349
-4.536 -4.470 1.617
6.206 -0.641 2.306
ATOMIC_POSITIONS angstrom
Pr -0.777 2.108 3.625
Hg -3.046 -0.126 4.434
Sn -1.954 0.042 1.297
Pr -1.119 -2.513 3.259
Sn -6.149 0.194 3.281
Sn -3.880 2.429 2.472
Sn -4.222 -2.193 2.106
! M_tot: 0.00 μB/f.u.
! Polymorph energy (0 for the lowest one): 0.0000 eV per atom
! Uncorrected energy: -4.1686 eV per atom

! PBE-GGA Pr2SnHg3, relaxed; values from VASP
&SYSTEM
  ibrav = 0, nat = 12, ntyp = 3
/
ATOMIC_SPECIES
Sn 118.71 Sn.upf
Hg 200.59 Hg.upf
Pr 140.91 Pr.upf
CELL_PARAMETERS angstrom
-5.008 0.137 -3.722
1.703 -2.856 -5.283
-0.965 -6.203 7.747
ATOMIC_POSITIONS angstrom
Sn -2.519 -3.863 -3.429
Hg -0.870 -2.514 1.078
Hg -2.911 -3.288 -6.217
Hg -3.012 -6.993 0.459
Pr -3.813 -3.713 -0.239
Pr -3.378 -0.590 -4.102
Hg -1.259 -1.929 -1.717
Sn -1.751 -5.060 2.171
Hg -1.359 -5.634 4.959
Pr -0.458 -5.209 -1.019
Pr 0.072 -2.129 -4.903
Hg -3.401 -6.409 -2.336
! M_tot: 0.00 μB/f.u.
! Uncorrected energy: -2.9042 eV per atom

! PBE-GGA Pr4SnHg3, relaxed; values from VASP
&SYSTEM
  ibrav = 0, nat = 8, ntyp = 3
/
ATOMIC_SPECIES
Pr 140.91 Pr.upf
Hg 200.59 Hg.upf
Sn 118.71 Sn.upf
CELL_PARAMETERS angstrom
5.211 0.000 -1.407
-0.375 5.203 -1.388
-0.412 -0.481 8.831
ATOMIC_POSITIONS angstrom
Pr 1.506 1.593 5.579
Pr 2.919 3.129 0.458
Pr 0.501 0.529 1.855
Hg 3.625 1.078 3.074
Sn 2.606 0.000 -0.703
Pr 3.924 4.193 4.182
Hg -0.187 2.601 -0.694
Hg 0.800 3.644 2.963
! M_tot: 0.79 μB/f.u.
! Uncorrected energy: -3.5416 eV per atom

! PBE-GGA Pr3SnHg4, relaxed; values from VASP
&SYSTEM
  ibrav = 0, nat = 8, ntyp = 3
/
ATOMIC_SPECIES
Hg 200.59 Hg.upf
Sn 118.71 Sn.upf
Pr 140.91 Pr.upf
CELL_PARAMETERS angstrom
4.033 0.000 0.000
0.000 9.397 0.000
-2.017 -4.699 6.384
ATOMIC_POSITIONS angstrom
Hg 0.000 2.110 4.737
Sn 2.017 0.000 0.000
Pr 0.000 4.699 0.000
Pr 0.000 0.000 2.469
Hg 2.017 6.809 1.647
Hg 0.000 -2.110 4.737
Pr 2.017 4.699 3.915
Hg 2.017 2.588 1.647
! M_tot: 0.00 μB/f.u.
! Uncorrected energy: -2.8151 eV per atom

! PBE-GGA Pr7Sn5Hg, relaxed; values from VASP
&SYSTEM
  ibrav = 0, nat = 13, ntyp = 3
/
ATOMIC_SPECIES
Sn 118.71 Sn.upf
Pr 140.91 Pr.upf
Hg 200.59 Hg.upf
CELL_PARAMETERS angstrom
-4.699 4.511 0.252
-7.773 -3.302 -1.521
-3.039 1.100 7.949
ATOMIC_POSITIONS angstrom
Sn -11.546 1.828 4.921
Sn -11.624 -0.481 2.471
Sn -9.194 1.778 7.332
Sn -9.284 -2.727 2.345
Pr -6.857 2.141 2.432
Pr -9.200 -0.432 4.799
Hg -4.923 4.266 0.477
Pr -3.666 0.809 1.456
Pr -6.185 -1.822 1.597
Pr -9.210 -0.177 0.050
Sn -6.854 -0.468 7.206
Pr -6.049 2.763 6.375
Pr -4.588 -0.337 4.791
! M_tot: 0.00 μB/f.u.
! Uncorrected energy: -4.6232 eV per atom

! PBE-GGA Pr3Sn2Hg, relaxed; values from VASP
&SYSTEM
  ibrav = 0, nat = 12, ntyp = 3
/
ATOMIC_SPECIES
Sn 118.71 Sn.upf
Pr 140.91 Pr.upf
Hg 200.59 Hg.upf
CELL_PARAMETERS angstrom
-0.985 2.587 -5.963
-6.299 0.709 1.348
3.864 6.054 5.613
ATOMIC_POSITIONS angstrom
Sn 0.170 3.913 -2.701
Pr -0.879 6.668 -1.377
Pr 0.394 2.893 0.399
Sn -0.643 5.616 1.797
Hg -5.574 2.764 -4.132
Sn -2.777 3.734 -0.799
Pr -2.540 2.682 2.375
Pr -2.216 1.862 -3.547
Sn -3.589 5.438 3.699
Pr -3.813 6.458 0.600
Hg -1.710 0.533 -0.483
Pr -5.067 1.434 -1.068
! M_tot: 0.00 μB/f.u.
! Polymorph energy (0 for the lowest one): 0.0517 eV per atom
! Uncorrected energy: -4.3482 eV per atom

! PBE-GGA Pr4SnHg7, relaxed; values from VASP
&SYSTEM
  ibrav = 0, nat = 12, ntyp = 3
/
ATOMIC_SPECIES
Hg 200.59 Hg.upf
Pr 140.91 Pr.upf
Sn 118.71 Sn.upf
CELL_PARAMETERS angstrom
5.454 0.000 0.000
2.727 8.693 0.885
2.727 1.071 7.488
ATOMIC_POSITIONS angstrom
Hg 2.727 0.965 4.480
Pr 8.180 7.127 6.665
Hg 2.727 0.000 0.000
Sn 0.000 0.000 0.000
Pr 2.727 2.638 1.708
Hg 5.454 4.185 1.963
Hg 8.180 8.799 3.893
Pr 5.454 2.804 4.869
Hg 5.454 5.580 6.409
Pr 5.454 6.960 3.503
Hg 8.180 3.946 6.467
Hg 2.727 5.819 1.905
! M_tot: 0.00 μB/f.u.
! Uncorrected energy: -2.3929 eV per atom

! PBE-GGA PrSnHg2, relaxed; values from VASP
&SYSTEM
  ibrav = 0, nat = 4, ntyp = 3
/
ATOMIC_SPECIES
Pr 140.91 Pr.upf
Sn 118.71 Sn.upf
Hg 200.59 Hg.upf
CELL_PARAMETERS angstrom
4.877 0.000 0.000
2.439 4.224 0.000
2.439 1.408 5.299
ATOMIC_POSITIONS angstrom
Pr 4.877 2.816 2.649
Sn 0.000 0.000 0.000
Hg 7.316 4.224 4.156
Hg 2.439 1.408 1.142
! M_tot: 0.00 μB/f.u.
! Uncorrected energy: -2.7306 eV per atom

! PBE-GGA Pr3Sn2Hg, relaxed; values from VASP
&SYSTEM
  ibrav = 0, nat = 24, ntyp = 3
/
ATOMIC_SPECIES
Hg 200.59 Hg.upf
Sn 118.71 Sn.upf
Pr 140.91 Pr.upf
CELL_PARAMETERS angstrom
4.758 0.000 0.000
0.000 12.180 0.000
0.000 0.000 12.800
ATOMIC_POSITIONS angstrom
Hg 1.189 1.756 1.850
Sn 3.568 0.284 8.769
Hg 3.568 7.846 4.550
Sn 1.189 8.276 6.278
Pr 3.568 3.797 10.161
Sn 1.189 6.374 10.431
Pr 3.568 10.676 5.855
Pr 1.189 5.257 4.710
Sn 3.568 3.903 6.522
Pr 1.189 1.504 6.945
Pr 3.568 6.923 8.090
Pr 3.568 11.347 1.690
Sn 1.189 9.993 12.678
Pr 1.189 0.833 11.110
Pr 3.568 2.292 3.761
Pr 1.189 8.382 2.639
Pr 1.189 4.586 0.545
Sn 3.568 5.806 2.369
Sn 1.189 11.895 4.031
Pr 3.568 7.594 12.255
Hg 3.568 10.424 10.950
Sn 3.568 2.186 0.122
Hg 1.189 4.334 8.250
Pr 1.189 9.887 9.039
! M_tot: 0.00 μB/f.u.
! Polymorph energy (0 for the lowest one): 0.0000 eV per atom
! Uncorrected energy: -4.3999 eV per atom

! PBE-GGA Pr6Sn2Hg, relaxed; values from VASP
&SYSTEM
  ibrav = 0, nat = 9, ntyp = 3
/
ATOMIC_SPECIES
Sn 118.71 Sn.upf
Pr 140.91 Pr.upf
Hg 200.59 Hg.upf
CELL_PARAMETERS angstrom
-3.725 2.063 1.169
1.251 -2.421 8.259
3.272 7.530 -2.867
ATOMIC_POSITIONS angstrom
Sn 1.924 0.896 4.551
Sn 2.598 4.214 0.842
Pr -0.021 3.113 2.781
Pr 0.077 5.495 -1.115
Pr -1.121 -0.403 5.481
Pr 0.870 2.003 -0.762
Hg -0.612 -1.389 8.844
Pr 3.320 3.751 3.958
Pr 0.332 -0.644 2.196
! M_tot: 0.65 μB/f.u.
! Uncorrected energy: -4.5833 eV per atom

! PBE-GGA Pr2SnHg2, relaxed; values from VASP
&SYSTEM
  ibrav = 0, nat = 5, ntyp = 3
/
ATOMIC_SPECIES
Hg 200.59 Hg.upf
Pr 140.91 Pr.upf
Sn 118.71 Sn.upf
CELL_PARAMETERS angstrom
-0.793 1.524 8.116
-0.602 -3.099 7.671
3.707 -0.347 5.201
ATOMIC_POSITIONS angstrom
Hg 0.949 -1.114 12.001
Pr 2.078 -1.383 15.281
Pr 0.234 -0.539 5.707
Sn 0.000 0.000 0.000
Hg 1.363 -0.808 8.988
! M_tot: 0.00 μB/f.u.
! Polymorph energy (0 for the lowest one): 0.0688 eV per atom
! Uncorrected energy: -3.2783 eV per atom

! PBE-GGA Pr8Sn5Hg, relaxed; values from VASP
&SYSTEM
  ibrav = 0, nat = 14, ntyp = 3
/
ATOMIC_SPECIES
Sn 118.71 Sn.upf
Pr 140.91 Pr.upf
Hg 200.59 Hg.upf
CELL_PARAMETERS angstrom
-5.722 5.406 -2.823
-3.578 -5.364 5.326
6.059 4.234 3.912
ATOMIC_POSITIONS angstrom
Sn 3.449 5.559 3.517
Pr -0.287 -1.214 5.702
Sn -6.609 1.064 3.162
Hg 1.324 1.845 4.891
Pr -1.554 7.814 0.685
Sn -2.742 3.382 3.644
Pr 0.280 5.036 3.733
Sn -0.582 -1.452 2.505
Pr -0.130 1.713 2.030
Pr -2.994 4.346 0.583
Sn 0.168 4.820 0.544
Pr -3.482 0.384 2.810
Pr -1.485 2.280 6.387
Pr -3.315 -3.255 3.728
! M_tot: 0.00 μB/f.u.
! Uncorrected energy: -4.8466 eV per atom

! PBE-GGA Pr6Sn3Hg, relaxed; values from VASP
&SYSTEM
  ibrav = 0, nat = 20, ntyp = 3
/
ATOMIC_SPECIES
Pr 140.91 Pr.upf
Sn 118.71 Sn.upf
Hg 200.59 Hg.upf
CELL_PARAMETERS angstrom
-3.104 -6.775 -2.048
0.569 -2.763 8.277
-9.064 4.064 1.980
ATOMIC_POSITIONS angstrom
Pr -4.150 -6.743 6.354
Sn -9.532 -4.372 2.688
Sn -1.268 -4.769 3.114
Pr -7.318 -5.329 4.987
Pr -7.301 -0.492 5.876
Pr -4.539 -2.830 7.015
Pr -0.888 -1.718 2.516
Pr -1.152 -4.372 6.215
Sn -2.067 -1.101 5.521
Pr -7.449 1.269 1.855
Sn -4.532 2.032 0.990
Sn -3.594 -2.310 0.603
Pr -4.281 -0.145 3.222
Sn -8.006 -3.164 7.605
Pr -10.711 -3.756 5.693
Pr -10.447 -1.102 1.993
Hg -5.800 -2.737 4.104
Pr -7.061 -2.644 1.194
Pr -4.298 -4.982 2.333
Hg 0.000 0.000 0.000
! M_tot: 0.00 μB/f.u.
! Uncorrected energy: -4.5436 eV per atom

ΔH_f (0 K), record by record: -0.30 -0.51 -0.56 -0.50 -0.59 -0.46 -0.49 -0.69 -0.44 -0.47 -0.49 -0.54 -0.37 -0.49 -0.57 -0.29 -0.38 -0.63 -0.47 -0.45 -0.66 -0.44 eV/atom